Record 1
Computed, not measured: a relaxed HoZnAgHg crystal at the PBE-GGA level of DFT. Values from VASP.

Cell and atoms, written as Quantum ESPRESSO input:
```
&SYSTEM
  ibrav = 0, nat = 4, ntyp = 4
/
ATOMIC_SPECIES
Ho 164.93 Ho.upf
Zn 65.41 Zn.upf
Ag 107.87 Ag.upf
Hg 200.59 Hg.upf
CELL_PARAMETERS angstrom
-4.371 0.521 -2.095
-0.392 -0.018 -4.859
-2.084 -3.781 -2.263
ATOMIC_POSITIONS angstrom
Ho -1.712 -0.820 -2.304
Zn -3.423 -1.639 -4.608
Ag -5.135 -2.459 -6.912
Hg 0.000 0.000 0.000
```

Computed properties:
Calculated volume (A^3/atom): 20.5
Fermi-level density of states (states/eV per atom): 0.3931



Record 2
Computed, not measured: a relaxed TlP2Se crystal at the PBE-GGA level of DFT. Values from VASP.

Cell and atoms, written as Quantum ESPRESSO input:
```
&SYSTEM
  ibrav = 0, nat = 4, ntyp = 3
/
ATOMIC_SPECIES
P 30.97 P.upf
Se 78.96 Se.upf
Tl 204.38 Tl.upf
CELL_PARAMETERS angstrom
4.854 0.000 0.000
0.000 4.854 0.000
0.000 0.000 3.427
ATOMIC_POSITIONS angstrom
P 0.000 0.000 0.000
P 2.427 2.427 0.000
Se 2.427 0.000 1.714
Tl 0.000 2.427 1.714
```

Computed properties:
Calculated volume (A^3/atom): 20.2
Energy relative to the lowest polymorph listed for this composition (eV per atom): 0.6402
Raw formation energy (meV per atom): 706
Fermi-level density of states (states/eV per atom): 0.4937



The evaluated raw total energy for the records listed, in turn: -2.53; -3.46 eV/atom.